DFT (GGA-PBE) results for a relaxed CoP2WCl crystal.

Structure (POSCAR):
```
CoP2WCl
1.0
-4.142 0.397 -1.118
-1.159 -0.480 4.122
0.265 4.429 0.591
W P Cl Co
1 2 1 1
direct
0.500 0.500 0.500
0.500 0.000 0.000
0.000 0.500 0.000
0.000 0.000 0.500
0.000 0.000 0.000
```

Output
**Total magnetic moment**: 1.86 μB/cell
**Symmetry**: P4/mmm
**Final energy**: -27.48 eV/f.u.
**ΔE_f (raw)**: 1049 meV per atom